1.
Entry from Alexandria via LeMat-Bulk: a relaxed HgSbTeN2 crystal (PBE-GGA).

The structure in POSCAR format:
```
HgSbTeN2
1.0
4.375 0.000 0.000
0.000 4.375 0.000
0.000 0.000 6.422
Hg Sb Te N
1 1 1 2
Direct
0.000 0.000 0.000
0.500 0.500 0.500
0.000 0.000 0.500
0.000 0.500 0.000
0.500 0.000 0.000
```

Results
Total magnetic moment in Bohr magnetons per cell: 2.9
Excess energy over the best structure of this formula in the dataset in eV per atom: 0.645
Final energy in eV/atom: -3.036

=====

2.
Entry from Alexandria via LeMat-Bulk: a relaxed Sc4TaAl crystal (PBE-GGA).

The structure in POSCAR format:
```
Sc4TaAl
1.0
0.000 3.990 3.990
3.990 0.000 3.990
3.990 3.990 0.000
Sc Ta Al
4 1 1
Direct
0.124 0.124 0.124
0.124 0.124 0.629
0.124 0.629 0.124
0.629 0.124 0.124
0.750 0.750 0.750
0.500 0.500 0.500
```

Results
Energy of formation in meV per atom: 397
Total magnetic moment in Bohr magnetons per cell: 0.1
Final energy in eV/atom: -6.423

=====

3.
Entry from Alexandria via LeMat-Bulk: a relaxed Ca3Cd5H12 crystal (PBE-GGA).

The structure in POSCAR format:
```
Ca3Cd5H12
1.0
-6.360 6.360 6.360
6.360 -6.360 6.360
6.360 6.360 -6.360
Ca Cd H
12 20 48
Direct
0.125 0.250 0.375
0.125 0.375 0.750
0.250 0.375 0.125
0.250 0.875 0.625
0.375 0.125 0.250
0.375 0.750 0.125
0.625 0.250 0.875
0.625 0.875 0.750
0.750 0.125 0.375
0.750 0.625 0.875
0.875 0.625 0.250
0.875 0.750 0.625
0.000 0.000 0.000
0.000 0.000 0.500
0.000 0.500 0.000
0.000 0.500 0.500
0.125 0.750 0.875
0.125 0.875 0.250
0.250 0.125 0.875
0.250 0.625 0.375
0.375 0.250 0.625
0.375 0.625 0.750
0.500 0.000 0.000
0.500 0.000 0.500
0.500 0.500 0.000
0.500 0.500 0.500
0.625 0.375 0.250
0.625 0.750 0.375
0.750 0.375 0.625
0.750 0.875 0.125
0.875 0.125 0.750
0.875 0.250 0.125
0.042 0.225 0.133
0.042 0.317 0.909
0.091 0.633 0.408
0.091 0.958 0.683
0.092 0.725 0.683
0.092 0.867 0.409
0.133 0.042 0.225
0.133 0.591 0.908
0.183 0.225 0.592
0.183 0.458 0.591
0.225 0.133 0.042
0.225 0.592 0.183
0.275 0.317 0.908
0.275 0.458 0.367
0.317 0.908 0.275
0.317 0.909 0.042
0.367 0.275 0.458
0.367 0.592 0.909
0.408 0.091 0.633
0.408 0.817 0.775
0.409 0.092 0.867
0.409 0.817 0.542
0.458 0.367 0.275
0.458 0.591 0.183
0.542 0.409 0.817
0.542 0.633 0.725
0.591 0.183 0.458
0.591 0.908 0.133
0.592 0.183 0.225
0.592 0.909 0.367
0.633 0.408 0.091
0.633 0.725 0.542
0.683 0.091 0.958
0.683 0.092 0.725
0.725 0.542 0.633
0.725 0.683 0.092
0.775 0.408 0.817
0.775 0.867 0.958
0.817 0.542 0.409
0.817 0.775 0.408
0.867 0.409 0.092
0.867 0.958 0.775
0.908 0.133 0.591
0.908 0.275 0.317
0.909 0.042 0.317
0.909 0.367 0.592
0.958 0.683 0.091
0.958 0.775 0.867
```

Results
Total magnetic moment in Bohr magnetons per cell: 0.0
Final energy in eV/atom: -2.555

=====

4.
Entry from Alexandria via LeMat-Bulk: a relaxed TbZnGa2Pd crystal (PBE-GGA).

The structure in POSCAR format:
```
TbZnGa2Pd
1.0
-2.095 2.095 5.290
2.095 -2.095 5.290
2.095 2.095 -5.290
Tb Zn Ga Pd
1 1 2 1
Direct
0.000 0.000 0.000
0.250 0.750 0.500
0.384 0.384 0.000
0.616 0.616 0.000
0.750 0.250 0.500
```

Results
Energy of formation in meV per atom: -616
Total magnetic moment in Bohr magnetons per cell: 0.0
Final energy in eV/atom: -4.046

=====

5.
Entry from Alexandria via LeMat-Bulk: a relaxed RbS2I crystal (PBE-GGA).

The structure in POSCAR format:
```
RbS2I
1.0
2.524 1.457 5.734
-2.524 1.457 5.734
0.000 -2.915 5.734
Rb S I
1 2 1
Direct
0.000 0.000 0.000
0.187 0.187 0.187
0.813 0.813 0.813
0.500 0.500 0.500
```

Results
Total magnetic moment in Bohr magnetons per cell: 0.0
Excess energy over the best structure of this formula in the dataset in eV per atom: 0.517
Final energy in eV/atom: -2.697

=====

6.
Entry from Alexandria via LeMat-Bulk: a relaxed LaPrSeI crystal (PBE-GGA).

The structure in POSCAR format:
```
LaPrSeI
1.0
2.089 1.206 8.199
-2.089 1.206 8.199
0.000 -2.412 8.199
La Pr Se I
1 1 1 1
Direct
0.000 0.000 0.000
0.193 0.193 0.193
0.595 0.595 0.595
0.430 0.430 0.430
```

Results
Total magnetic moment in Bohr magnetons per cell: 0.0
Excess energy over the best structure of this formula in the dataset in eV per atom: 0.000
Final energy in eV/atom: -5.112

=====

7.
Entry from Alexandria via LeMat-Bulk: a relaxed Li3Nd2Cu12Pt crystal (PBE-GGA).

The structure in POSCAR format:
```
Li3Nd2Cu12Pt
1.0
2.906 1.678 9.819
-2.906 1.678 9.819
0.000 -3.355 9.819
Li Nd Cu Pt
3 2 12 1
Direct
0.000 0.500 0.500
0.500 0.000 0.500
0.500 0.500 0.000
0.143 0.143 0.143
0.857 0.857 0.857
0.088 0.088 0.681
0.088 0.681 0.088
0.127 0.583 0.583
0.319 0.912 0.912
0.417 0.417 0.873
0.417 0.873 0.417
0.583 0.127 0.583
0.583 0.583 0.127
0.681 0.088 0.088
0.873 0.417 0.417
0.912 0.319 0.912
0.912 0.912 0.319
0.500 0.500 0.500
```

Results
Energy of formation in meV per atom: 64
Total magnetic moment in Bohr magnetons per cell: 0.0
Final energy in eV/atom: -3.851

=====

8.
Entry from Alexandria via LeMat-Bulk: a relaxed MgIrO3 crystal (PBE-GGA).

The structure in POSCAR format:
```
MgIrO3
1.0
5.278 0.000 0.000
-2.639 4.571 0.000
0.000 0.000 2.894
Mg Ir O
1 1 3
Direct
0.000 0.000 0.000
0.667 0.333 0.000
0.348 0.173 0.500
0.825 0.652 0.500
0.827 0.175 0.500
```

Results
Total magnetic moment in Bohr magnetons per cell: 0.4
Final energy in eV/atom: -6.055

=====

9.
Entry from Alexandria via LeMat-Bulk: a relaxed EuAlTl2 crystal (PBE-GGA).

The structure in POSCAR format:
```
EuAlTl2
1.0
3.804 0.000 0.000
0.000 3.804 0.000
0.000 0.000 7.463
Eu Al Tl
1 1 2
Direct
0.000 0.000 0.000
0.000 0.000 0.500
0.500 0.500 0.285
0.500 0.500 0.715
```

Results
Energy of formation in meV per atom: -105
Total magnetic moment in Bohr magnetons per cell: 7.2
Final energy in eV/atom: -4.792

=====

10.
Entry from Alexandria via LeMat-Bulk: a relaxed Li2LaCuH crystal (PBE-GGA).

The structure in POSCAR format:
```
Li2LaCuH
1.0
4.063 0.000 0.000
0.000 4.063 0.000
0.000 0.000 5.214
Li La Cu H
2 1 1 1
Direct
0.000 0.500 0.000
0.500 0.000 0.000
0.000 0.000 0.500
0.500 0.500 0.500
0.000 0.000 0.000
```

Results
Total magnetic moment in Bohr magnetons per cell: 0.0
Final energy in eV/atom: -3.392

=====

11.
Entry from Alexandria via LeMat-Bulk: a relaxed Ni2AgHgB crystal (PBE-GGA).

The structure in POSCAR format:
```
Ni2AgHgB
1.0
4.866 0.000 0.000
0.000 4.866 0.000
0.000 0.000 4.045
Ni Ag Hg B
2 1 1 1
Direct
0.000 0.500 0.000
0.500 0.000 0.000
0.000 0.000 0.500
0.500 0.500 0.000
0.500 0.500 0.500
```

Results
Energy of formation in meV per atom: 1490
Total magnetic moment in Bohr magnetons per cell: 1.0
Final energy in eV/atom: -2.789

=====

12.
Entry from Alexandria via LeMat-Bulk: a relaxed Sr2GaSb2 crystal (PBE-GGA).

The structure in POSCAR format:
```
Sr2GaSb2
1.0
8.207 0.000 0.000
0.000 8.207 0.000
0.000 0.000 4.776
Sr Ga Sb
4 2 4
Direct
0.177 0.323 0.000
0.323 0.823 0.000
0.677 0.177 0.000
0.823 0.677 0.000
0.000 0.000 0.500
0.500 0.500 0.500
0.125 0.625 0.500
0.375 0.125 0.500
0.625 0.875 0.500
0.875 0.375 0.500
```

Results
Total magnetic moment in Bohr magnetons per cell: 0.0
Excess energy over the best structure of this formula in the dataset in eV per atom: 0.000
Final energy in eV/atom: -3.593